[1]
TmTaCuRu, optimized geometry, DFT PBE-GGA; magnetic moment = 0.000 Bohr magnetons per cell; uncorrected energy = -30.21 eV per formula unit; ΔH_f (0 K) = -2.96 kcal/mol of atoms
1.0
0.0000 3.2608 3.2608
3.2608 0.0000 3.2608
3.2608 3.2608 0.0000
Tm Ta Cu Ru
1 1 1 1
direct
0.0000 0.0000 0.0000
0.5000 0.5000 0.5000
0.7500 0.7500 0.7500
0.2500 0.2500 0.2500

---

[2]
CeDyHo4Er2, optimized geometry, DFT PBE-GGA; magnetic moment = 0.904 Bohr magnetons per cell; uncorrected energy = -37.62 eV per formula unit; ΔH_f (0 K) = 1.02 kcal/mol of atoms
1.0
4.9810 0.0000 0.0000
0.0000 4.9810 0.0000
0.0000 0.0000 9.9527
Ce Dy Ho Er
1 1 4 2
direct
0.0000 0.0000 0.0000
0.5000 0.5000 0.5000
0.0000 0.5000 0.2491
0.0000 0.5000 0.7509
0.5000 0.0000 0.2491
0.5000 0.0000 0.7509
0.0000 0.0000 0.5000
0.5000 0.5000 0.0000

---

[3]
ErSi2Rh3, optimized geometry, DFT PBE-GGA; magnetic moment = 0.000 Bohr magnetons per cell; formation energy without anion corrections = -1.021 eV per atom; uncorrected energy = -43.59 eV per formula unit
1.0
5.5129 0.0000 0.0000
-2.7565 4.7744 0.0000
0.0000 0.0000 3.6617
Er Si Rh
1 2 3
direct
0.0000 0.0000 0.0000
0.3333 0.6667 0.0000
0.6667 0.3333 0.0000
0.0000 0.5000 0.5000
0.5000 0.0000 0.5000
0.5000 0.5000 0.5000